YInAg2, relaxed, DFT GGA-PBE; M_tot = 0.0 μB per formula unit; formation enthalpy at 0 K = -0.20 eV per atom
1.0
-0.034 0.299 -3.579
-3.577 -0.324 0.007
-0.619 6.847 0.579
Ag In Y
2 1 1
Direct
0.500 0.500 0.243
0.000 0.000 0.025
0.000 0.000 0.468
0.500 0.500 0.764